MnAl2Ir after structural relaxation. Source: the Alexandria database, functional PBEsol.

The structure in POSCAR format:
```
MnAl2Ir
1.0
4.181 0.000 0.000
0.000 4.181 0.000
0.000 0.000 2.950
Mn Al Ir
1 2 1
Cartesian
0.000 0.000 0.000
0.000 2.090 1.475
2.090 0.000 1.475
2.090 2.090 0.000
```

* total moment: 1.581 μB per cell
* N(E_F): 0.546 states/eV/atom
* space-group type: P4/mmm (123)
* formation energy from the elements: -0.561 eV/atom